No. 1
NaMg2Rh2 (GGA-PBE, relaxed); N(E_F) = 4.32 states/eV/cell; energy above the most stable polymorph in this dataset = 0 meV/atom; total magnetic moment = 0.0000 μB/atom
1.0
7.5845 0.0000 0.0000
0.0000 7.5845 0.0000
0.0000 0.0000 3.0757
Na Mg Rh
2 4 4
Direct
0.0000 0.0000 0.0000 Na
0.5000 0.5000 0.0000 Na
0.1626 0.3375 0.5000 Mg
0.3375 0.8374 0.5000 Mg
0.6626 0.1626 0.5000 Mg
0.8374 0.6626 0.5000 Mg
0.1292 0.6292 0.0000 Rh
0.3708 0.1292 0.0000 Rh
0.6292 0.8708 0.0000 Rh
0.8708 0.3708 0.0000 Rh

---

No. 2
NaMg2Rh (GGA-PBE, relaxed); N(E_F) = 3.96 states/eV/cell; total magnetic moment = 0.0000 μB/atom; uncorrected energy = -2.671 eV/atom
1.0
-2.1412 2.1412 9.3076
2.1412 -2.1412 9.3076
2.1412 2.1412 -9.3076
Na Mg Rh
2 4 2
Direct
0.0000 0.0000 0.0000 Na
0.7500 0.2500 0.5000 Na
0.1625 0.6250 0.0375 Mg
0.3750 0.4125 0.5375 Mg
0.5875 0.1250 0.9625 Mg
0.8750 0.8375 0.4625 Mg
0.2500 0.7500 0.5000 Rh
0.5000 0.5000 0.0000 Rh

---

No. 3
NaMg3Rh (GGA-PBE, relaxed); N(E_F) = 1.54 states/eV/cell; energy above the most stable polymorph in this dataset = 0 meV/atom; total magnetic moment = 0.0000 μB/atom
1.0
5.0246 0.0000 0.0000
0.0000 5.0246 0.0000
0.0000 0.0000 5.0246
Na Mg Rh
1 3 1
Direct
0.0000 0.0000 0.0000 Na
0.0000 0.5000 0.5000 Mg
0.5000 0.0000 0.5000 Mg
0.5000 0.5000 0.0000 Mg
0.5000 0.5000 0.5000 Rh

---

No. 4
NaMg2Rh2 (GGA-PBE, relaxed); N(E_F) = 4.76 states/eV/cell; energy above the most stable polymorph in this dataset = 30 meV/atom; total magnetic moment = 0.0000 μB/atom
1.0
7.5633 0.0000 0.0000
0.0000 7.5633 0.0000
0.0000 0.0000 3.0536
Na Mg Rh
2 4 4
Direct
0.0000 0.0000 0.0000 Na
0.5000 0.5000 0.0000 Na
0.1453 0.3547 0.0000 Mg
0.3547 0.8547 0.0000 Mg
0.6453 0.1453 0.0000 Mg
0.8547 0.6453 0.0000 Mg
0.1453 0.6453 0.5000 Rh
0.3547 0.1453 0.5000 Rh
0.6453 0.8547 0.5000 Rh
0.8547 0.3547 0.5000 Rh